Material: HS5Br
Method: DFT, PBE-GGA
State: relaxed

The structure in extended XYZ format:
```
7
Lattice="7.9243 1.6257 -4.5376 0.1315 3.4125 -2.5141 -1.4369 0.0600 8.8179" Properties=species:S:1:pos:R:3 pbc="T T T"
Br 5.1042 2.5790 -0.1119
S 2.5093 2.6430 3.1792
S 0.9877 2.8270 -0.6147
S -1.0054 0.9234 7.9169
S 7.3539 2.0739 -3.6823
S 1.9358 1.0916 5.4901
H 5.5897 2.4818 1.2523
```

Computed properties:
Calculated total energy in eV/atom: -3.5705
Crystal system: triclinic
Spin magnetization in Bohr magnetons per cell: 0.00
Space-group type: P1
ρ in g/cm³: 1.81